Entry from the Alexandria database: crystalline KAc2Pm at its relaxed geometry (GGA-PBE).

a b c (Å): 3.906 3.906 14.197
angles (deg): 82.09 82.09 60.00
Sites, in units of the cell vectors:
K1 0.000 0.000 0.000
Pm1 0.500 0.500 0.500
Ac1 0.095 0.095 0.715
Ac2 0.905 0.905 0.285

Computed properties:
Space group: R-3m
Formation energy in eV/atom: 0.152
Calculated total energy in eV per atom: -3.3639
Theoretical density in g cm⁻³: 5.72